1.
The following is a PBE-GGA calculation of a relaxed HfMg3Rh4 crystal, from the Alexandria database.

a b c (Å): 4.467 4.467 7.709
angles (deg): 73.16 73.16 60.00
Sites, in units of the cell vectors:
Mg1 0.753 0.753 0.741
Mg2 0.247 0.247 0.259
Mg3 0.500 0.500 0.500
Rh1 0.123 0.123 0.630
Rh2 0.374 0.374 0.877
Rh3 0.626 0.626 0.123
Rh4 0.877 0.877 0.370
Hf1 0.000 0.000 0.000

Space group ... No. 166
Spin magnetization ... 0.0 μB/f.u.
ΔH_f (0 K) ... -725 meV/atom

---

2.
The following is a PBE-GGA calculation of a relaxed ErCo5P3 crystal, from the Alexandria database.

a b c (Å): 3.572 5.939 11.285
angles (deg): 90.00 90.00 107.50
Sites, in units of the cell vectors:
P1 0.889 0.777 0.250
P2 0.617 0.233 0.042
P3 0.383 0.767 0.958
P4 0.617 0.233 0.458
P5 0.111 0.223 0.750
P6 0.383 0.767 0.542
Er1 0.844 0.688 0.750
Er2 0.156 0.312 0.250
Co1 0.447 0.893 0.357
Co2 0.553 0.107 0.857
Co3 0.000 0.000 0.000
Co4 0.553 0.107 0.643
Co5 0.447 0.893 0.143
Co6 0.200 0.399 0.928
Co7 0.800 0.601 0.428
Co8 0.800 0.601 0.072
Co9 0.000 0.000 0.500
Co10 0.200 0.399 0.572

Space group ... No. 63
Spin magnetization ... 0.0 μB/f.u.
ΔH_f (0 K) ... -764 meV/atom
Energy above the most stable polymorph in this dataset ... 8.3 kJ per mole of atoms

---

3.
The following is a PBE-GGA calculation of a relaxed CrHgIr2 crystal, from the Alexandria database.

a b c (Å): 4.825 4.825 4.913
angles (deg): 79.92 79.92 34.58
Sites, in units of the cell vectors:
Hg1 0.249 0.249 0.255
Cr1 0.490 0.490 0.529
Ir1 0.752 0.752 0.754
Ir2 0.009 0.009 0.963

Space group ... No. 8
Spin magnetization ... 2.7 μB/f.u.
ΔH_f (0 K) ... 345 meV/atom

---

4.
The following is a PBE-GGA calculation of a relaxed TlFe2Hg crystal, from the Alexandria database.

a b c (Å): 4.475 2.994 5.293
angles (deg): 89.94 90.00 90.00
Sites, in units of the cell vectors:
Hg1 0.000 0.624 0.438
Fe1 0.500 0.125 0.258
Fe2 0.000 0.125 0.999
Tl1 0.500 0.626 0.804

Space group ... No. 25
Spin magnetization ... 5.3 μB/f.u.
ΔH_f (0 K) ... 533 meV/atom
Energy above the most stable polymorph in this dataset ... 14.6 kJ per mole of atoms

---

5.
The following is a PBE-GGA calculation of a relaxed YInCuIr2 crystal, from the Alexandria database.

a b c (Å): 4.928 4.602 4.928
angles (deg): 90.00 90.00 90.00
Sites, in units of the cell vectors:
Ir1 0.500 0.000 0.000
Ir2 0.000 0.000 0.500
Cu1 0.000 0.500 0.000
Y1 0.500 0.500 0.500
In1 0.000 0.000 0.000

Space group ... No. 123
Spin magnetization ... 0.0 μB/f.u.
ΔH_f (0 K) ... 671 meV/atom

---

6.
The following is a PBE-GGA calculation of a relaxed TbSm5Tl3 crystal, from the Alexandria database.

a b c (Å): 6.843 9.540 9.538
angles (deg): 120.01 90.00 90.00
Sites, in units of the cell vectors:
Tb1 0.000 0.000 0.000
Tb2 0.500 0.000 0.000
Tl1 0.750 0.670 0.000
Tl2 0.250 0.330 0.000
Tl3 0.750 0.000 0.670
Tl4 0.250 0.000 0.330
Tl5 0.750 0.330 0.330
Tl6 0.250 0.670 0.670
Sm1 0.750 0.664 0.664
Sm2 0.750 0.335 0.000
Sm3 0.500 0.333 0.667
Sm4 0.250 0.000 0.664
Sm5 0.000 0.333 0.667
Sm6 0.250 0.336 0.336
Sm7 0.750 0.000 0.336
Sm8 0.000 0.667 0.333
Sm9 0.250 0.665 0.000
Sm10 0.500 0.667 0.333

Space group ... No. 193
Spin magnetization ... 1.9 μB/f.u.
ΔH_f (0 K) ... -264 meV/atom

---

7.
The following is a PBE-GGA calculation of a relaxed YCo2Ni crystal, from the Alexandria database.

a b c (Å): 3.997 3.997 5.230
angles (deg): 67.61 67.61 59.98
Sites, in units of the cell vectors:
Co1 0.057 0.057 0.830
Co2 0.741 0.741 0.776
Y1 0.251 0.251 0.247
Ni1 0.451 0.451 0.647

Space group ... No. 160
Spin magnetization ... 2.6 μB/f.u.
ΔH_f (0 K) ... -149 meV/atom

---

8.
The following is a PBE-GGA calculation of a relaxed U2HSe2 crystal, from the Alexandria database.

a b c (Å): 3.939 3.939 14.822
angles (deg): 97.64 97.64 90.00
Sites, in units of the cell vectors:
U1 0.964 0.464 0.928
U2 0.714 0.714 0.428
U3 0.286 0.286 0.572
U4 0.536 0.036 0.072
H1 0.500 0.500 0.000
H2 0.750 0.250 0.500
Se1 0.431 0.931 0.862
Se2 0.069 0.569 0.138
Se3 0.819 0.819 0.638
Se4 0.181 0.181 0.362

Space group ... No. 141
Spin magnetization ... 6.8 μB/f.u.

---

9.
The following is a PBE-GGA calculation of a relaxed NdTh2Cu crystal, from the Alexandria database.

a b c (Å): 3.659 3.659 10.300
angles (deg): 79.77 79.77 60.00
Sites, in units of the cell vectors:
Nd1 0.500 0.500 0.500
Th1 0.736 0.736 0.793
Th2 0.264 0.264 0.207
Cu1 0.000 0.000 0.000

Space group ... No. 166
Spin magnetization ... 0.0 μB/f.u.
ΔH_f (0 K) ... 107 meV/atom
Energy above the most stable polymorph in this dataset ... 8.4 kJ per mole of atoms

---

10.
The following is a PBE-GGA calculation of a relaxed AsPRu2 crystal, from the Alexandria database.

a b c (Å): 4.556 3.000 4.189
angles (deg): 89.92 90.00 90.00
Sites, in units of the cell vectors:
Ru1 0.000 0.875 0.991
Ru2 0.500 0.374 0.232
As1 0.000 0.375 0.490
P1 0.500 0.876 0.788

Space group ... No. 6
Spin magnetization ... 0.0 μB/f.u.
ΔH_f (0 K) ... -228 meV/atom
Energy above the most stable polymorph in this dataset ... 6.0 kJ per mole of atoms

---

11.
The following is a PBE-GGA calculation of a relaxed Ac2ScMnS6 crystal, from the Alexandria database.

a b c (Å): 6.620 7.320 9.495
angles (deg): 90.00 90.25 90.00
Sites, in units of the cell vectors:
S1 0.909 0.511 0.239
S2 0.409 0.989 0.739
S3 0.190 0.189 0.047
S4 0.091 0.489 0.761
S5 0.591 0.011 0.261
S6 0.803 0.816 0.544
S7 0.197 0.184 0.456
S8 0.303 0.684 0.044
S9 0.310 0.689 0.453
S10 0.690 0.311 0.547
S11 0.697 0.316 0.956
S12 0.810 0.811 0.953
Mn1 0.500 0.000 0.500
Mn2 0.000 0.500 0.000
Sc1 0.000 0.500 0.500
Sc2 0.500 0.000 0.000
Ac1 0.030 0.907 0.248
Ac2 0.530 0.593 0.748
Ac3 0.470 0.407 0.252
Ac4 0.970 0.093 0.752

Space group ... No. 14
Spin magnetization ... 4.0 μB/f.u.
Formation energy from raw total energies ... -1.7213 eV/atom

---

12.
The following is a PBE-GGA calculation of a relaxed Mg2TcBr crystal, from the Alexandria database.

a b c (Å): 4.792 4.792 4.792
angles (deg): 60.00 60.00 60.00
Sites, in units of the cell vectors:
Tc1 0.750 0.750 0.750
Mg1 0.000 0.000 0.000
Mg2 0.250 0.250 0.250
Br1 0.500 0.500 0.500

Space group ... No. 216
Spin magnetization ... 1.9 μB/f.u.
Formation energy from raw total energies ... 0.6041 eV/atom
Energy above the most stable polymorph in this dataset ... 61.1 kJ per mole of atoms

---

The total energy results, record by record, are as follows: -6.242; -7.022; -6.567; -4.366; -5.533; -4.189; -6.763; -7.318; -5.819; -7.381; -6.570; -3.203 eV/atom.
The density of states at the Fermi level results, record by record, are as follows: 0.43; 0.81; 0.90; 0.55; 0.61; 1.28; 1.13; 1.43; 1.17; 0.65; 0.14; 0.72 states/eV/atom.